The following is a PBE-GGA calculation of a relaxed Pr8Cd2Pb crystal, from Alexandria via LeMat-Bulk.

Structure (POSCAR):
```
Pr8Cd2Pb
1.0
5.537 0.000 0.000
0.000 8.928 -0.296
-2.769 -4.094 7.472
Pr Cd Pb
8 2 1
direct
0.407 0.548 0.813
0.682 0.953 0.364
0.859 0.808 0.719
0.931 0.280 0.862
0.141 0.192 0.281
0.318 0.047 0.636
0.593 0.452 0.187
0.069 0.720 0.138
0.777 0.389 0.553
0.223 0.611 0.447
0.500 0.000 0.000
```

Results
E = -46.06 eV per cell
Space group = No. 12
Formation enthalpy at 0 K = -2.3 eV/f.u.